Entry from the Alexandria database: a relaxed MgCd2Si crystal (PBE).

Summary:
- total moment (μB per atom) = 0.00
- energy above the lowest structure with this stoichiometry (eV/atom) = 0.0787
- space-group type = F-43m (216)
- E_tot (eV per atom) = -2.0218
- energy relative to the elements, uncorrected (eV/atom) = 0.19

Unit cell a=4.9052 b=4.9052 c=4.9052 alpha=60.00 beta=60.00 gamma=60.00
Last column: nearest neighbours and their distance in Å.
Sites, in units of the cell vectors:
Mg1 0.5000 0.5000 0.5000  4 Si 3.00, 4 Cd 3.00
Cd1 0.0000 0.0000 0.0000  4 Cd 3.00, 4 Si 3.00
Cd2 0.2500 0.2500 0.2500  4 Mg 3.00, 4 Cd 3.00
Si1 0.7500 0.7500 0.7500  4 Cd 3.00, 4 Mg 3.00

=====

Entry from the Alexandria database: a relaxed MgCdSi crystal (PBE).

Summary:
- total moment (μB per atom) = 0.00
- space-group type = C2/m (12)
- E_tot (eV per atom) = -2.5133
- energy relative to the elements, uncorrected (eV/atom) = 0.13

Unit cell a=6.1510 b=4.9732 c=6.1511 alpha=80.47 beta=46.39 gamma=99.53
Last column: nearest neighbours and their distance in Å.
Sites, in units of the cell vectors:
Mg1 0.2955 0.3067 0.2722  4 Si 2.77-2.91
Mg2 0.0028 0.3067 0.9796  4 Si 2.77-2.91
Si1 0.4284 0.8066 0.4050  2 Si 2.51, 2 Mg 2.77
Si2 0.8700 0.8067 0.8466  2 Si 2.51, 2 Mg 2.77
Cd1 0.4800 0.9940 0.7949  3 Cd 2.84-2.96, 2 Si 2.90, 2 Mg 3.13
Cd2 0.8177 0.6188 0.4574  3 Cd 2.84-2.96, 2 Si 2.90, 2 Mg 3.13

=====

Entry from the Alexandria database: a relaxed MgCd2Si crystal (PBE).

Summary:
- total moment (μB per atom) = 0.00
- energy above the lowest structure with this stoichiometry (eV/atom) = 0.0261
- space-group type = Cmm2 (35)
- E_tot (eV per atom) = -2.0745
- energy relative to the elements, uncorrected (eV/atom) = 0.14

Unit cell a=3.1248 b=3.1248 c=8.3960 alpha=90.00 beta=90.00 gamma=91.22
Last column: nearest neighbours and their distance in Å.
Sites, in units of the cell vectors:
Si1 0.5000 0.5000 0.7383  4 Mg 2.83-2.87, 4 Cd 2.98-3.02, 4 Si 3.12
Cd1 0.5000 0.5000 0.2578  4 Mg 3.12-3.16, 8 Cd 3.12-3.23
Cd2 0.0000 0.0000 0.9803  4 Si 2.98-3.02, 8 Cd 3.12-3.23
Mg1 0.0000 0.0000 0.5236  4 Si 2.83-2.87, 4 Cd 3.12-3.16, 4 Mg 3.12

=====

Entry from the Alexandria database: a relaxed Mg2CdSi crystal (PBE).

Summary:
- total moment (μB per atom) = 0.00
- space-group type = P2/m (10)
- E_tot (eV per atom) = -2.3647
- energy relative to the elements, uncorrected (eV/atom) = 0.02

Unit cell a=3.9327 b=3.1820 c=7.0194 alpha=63.33 beta=90.00 gamma=90.00
Last column: nearest neighbours and their distance in Å.
Sites, in units of the cell vectors:
Si1 0.5000 0.2500 0.2500  8 Mg 2.91-2.92, 2 Cd 3.14, 2 Si 3.18
Mg1 0.0000 0.5165 0.4808  3 Mg 2.90-3.18, 4 Si 2.91-2.92, 4 Cd 3.04
Mg2 0.0000 0.9835 0.0192  3 Mg 2.90-3.18, 4 Si 2.91-2.92, 4 Cd 3.04
Cd1 0.5000 0.7500 0.7500  8 Mg 3.04, 2 Si 3.14, 2 Cd 3.18

=====

Entry from the Alexandria database: a relaxed MgCd2Si crystal (PBE).

Summary:
- total moment (μB per atom) = 0.00
- energy above the lowest structure with this stoichiometry (eV/atom) = 0.0292
- space-group type = P4/mmm (123)
- E_tot (eV per atom) = -2.0714
- energy relative to the elements, uncorrected (eV/atom) = 0.14

Unit cell a=4.2335 b=4.2335 c=4.5406 alpha=90.00 beta=90.00 gamma=90.00
Last column: nearest neighbours and their distance in Å.
Sites, in units of the cell vectors:
Si1 0.0000 0.5000 0.5000  4 Mg 2.99, 8 Cd 3.10
Cd1 0.0000 0.0000 0.0000  4 Cd 2.99, 4 Mg 3.10, 4 Si 3.10
Cd2 0.5000 0.5000 0.0000  4 Cd 2.99, 4 Mg 3.10, 4 Si 3.10
Mg1 0.5000 0.0000 0.5000  4 Si 2.99, 8 Cd 3.10

=====

Entry from the Alexandria database: a relaxed MgCd2Si crystal (PBE).

Summary:
- total moment (μB per atom) = 0.00
- energy above the lowest structure with this stoichiometry (eV/atom) = 0.0287
- space-group type = Pmm2 (25)
- E_tot (eV per atom) = -2.0719
- energy relative to the elements, uncorrected (eV/atom) = 0.14

Unit cell a=3.2360 b=4.1359 c=6.1179 alpha=90.00 beta=90.00 gamma=90.00
Last column: nearest neighbours and their distance in Å.
Sites, in units of the cell vectors:
Cd1 0.5000 0.5000 0.2535  2 Si 2.91-3.21, 6 Cd 3.07-3.24, 4 Mg 3.10
Cd2 0.0000 0.0000 0.9943  1 Mg 2.88, 4 Cd 3.07, 4 Si 3.09
Si1 0.5000 0.5000 0.7289  6 Cd 2.91-3.21, 4 Mg 2.91, 2 Si 3.24
Mg1 0.0000 0.0000 0.5234  5 Cd 2.88-3.10, 4 Si 2.91

=====

Entry from the Alexandria database: a relaxed Mg2CdSi crystal (PBE).

Summary:
- total moment (μB per atom) = 0.00
- space-group type = Cmmm (65)
- E_tot (eV per atom) = -2.3465
- energy relative to the elements, uncorrected (eV/atom) = 0.04

Unit cell a=5.2615 b=5.2615 c=2.9407 alpha=90.00 beta=90.00 gamma=106.73
Last column: nearest neighbours and their distance in Å.
Sites, in units of the cell vectors:
Si1 0.5000 0.0000 0.5000  2 Si 2.94, 8 Mg 3.01, 2 Cd 3.14
Mg1 0.5000 0.5000 0.0000  4 Mg 2.94-3.14, 4 Si 3.01, 4 Cd 3.01
Mg2 0.0000 0.0000 0.0000  4 Mg 2.94-3.14, 4 Cd 3.01, 4 Si 3.01
Cd1 0.0000 0.5000 0.5000  2 Cd 2.94, 8 Mg 3.01, 2 Si 3.14

=====

Entry from the Alexandria database: a relaxed Mg2CdSi crystal (PBE).

Summary:
- total moment (μB per atom) = 0.00
- space-group type = R3m (160)
- E_tot (eV per atom) = -2.3325
- energy relative to the elements, uncorrected (eV/atom) = 0.05

Unit cell a=4.4342 b=4.4342 c=5.8962 alpha=67.91 beta=67.91 gamma=60.00
Last column: nearest neighbours and their distance in Å.
Sites, in units of the cell vectors:
Mg1 0.2730 0.2730 0.1810  3 Si 2.75
Mg2 0.0616 0.0616 0.8153  3 Si 2.73, 3 Cd 3.03
Si1 0.6694 0.6694 0.9918  6 Mg 2.73-2.75, 1 Cd 2.76
Cd1 0.4960 0.4960 0.5119  1 Si 2.76, 3 Mg 3.03

=====

Entry from the Alexandria database: a relaxed MgCdSi3 crystal (PBE).

Summary:
- total moment (μB per atom) = 0.00
- energy above the lowest structure with this stoichiometry (eV/atom) = 0.0000
- space-group type = Pm-3m (221)
- E_tot (eV per atom) = -2.6992
- energy relative to the elements, uncorrected (eV/atom) = 1.06

Unit cell a=4.9361 b=4.9361 c=4.9361 alpha=90.00 beta=90.00 gamma=90.00
Last column: nearest neighbours and their distance in Å.
Sites, in units of the cell vectors:
Si1 0.0000 0.0000 0.5000  2 Mg 2.47
Si2 0.0000 0.5000 0.0000  2 Mg 2.47
Si3 0.5000 0.0000 0.0000  2 Mg 2.47
Mg1 0.0000 0.0000 0.0000  6 Si 2.47
Cd1 0.5000 0.5000 0.5000  12 Si 3.49

=====

Entry from the Alexandria database: a relaxed MgCd2Si crystal (PBE).

Summary:
- total moment (μB per atom) = 0.07
- energy above the lowest structure with this stoichiometry (eV/atom) = 0.1516
- space-group type = R-3m (166)
- E_tot (eV per atom) = -1.9490
- energy relative to the elements, uncorrected (eV/atom) = 0.26

Unit cell a=9.6406 b=9.6406 c=9.6406 alpha=19.16 beta=19.16 gamma=19.16
Last column: nearest neighbours and their distance in Å.
Sites, in units of the cell vectors:
Cd1 0.4981 0.4981 0.4981  3 Si 2.96, 3 Mg 3.05, 6 Cd 3.21
Cd2 0.0019 0.0019 0.0019  3 Si 2.96, 3 Mg 3.05, 6 Cd 3.21
Mg1 0.2500 0.2500 0.2500  6 Cd 3.05, 6 Mg 3.21
Si1 0.7500 0.7500 0.7500  6 Cd 2.96, 6 Si 3.21

=====

Entry from the Alexandria database: a relaxed MgCd2Si crystal (PBE).

Summary:
- total moment (μB per atom) = 0.00
- energy above the lowest structure with this stoichiometry (eV/atom) = 0.0413
- space-group type = Cm (8)
- E_tot (eV per atom) = -2.0593
- energy relative to the elements, uncorrected (eV/atom) = 0.15

Unit cell a=4.9356 b=4.9356 c=5.7356 alpha=75.90 beta=75.90 gamma=38.57
Last column: nearest neighbours and their distance in Å.
Sites, in units of the cell vectors:
Cd1 0.7476 0.7476 0.7439  5 Cd 2.92-3.26, 3 Mg 3.01-3.03, 2 Si 3.04
Cd2 0.9846 0.9846 0.9934  2 Si 2.87, 3 Cd 2.92-2.98
Si1 0.2566 0.2566 0.2922  3 Mg 2.78-2.82, 4 Cd 2.87-3.04
Mg1 0.5113 0.5113 0.4706  3 Si 2.78-2.82, 3 Cd 3.01-3.03

=====

Entry from the Alexandria database: a relaxed MgCdSi crystal (PBE).

Summary:
- total moment (μB per atom) = 0.00
- space-group type = P2_1/m (11)
- E_tot (eV per atom) = -2.6109
- energy relative to the elements, uncorrected (eV/atom) = 0.03

Unit cell a=4.4210 b=3.5995 c=8.0828 alpha=90.00 beta=74.81 gamma=90.00
Last column: nearest neighbours and their distance in Å.
Sites, in units of the cell vectors:
Si1 0.9110 0.1527 0.4076  2 Si 2.37
Si2 0.8723 0.6528 0.2238  2 Si 2.37
Cd1 0.1095 0.6526 0.8835  1 Si 2.67
Cd2 0.6739 0.1526 0.7479  1 Si 2.67
Mg1 0.4402 0.1532 0.1344  5 Si 2.76-3.02, 1 Cd 3.02
Mg2 0.3430 0.6532 0.4971  5 Si 2.77-3.02, 1 Cd 3.02